# SrScBe2 | Alexandria via LeMat-Bulk | meta-GGA SCAN | PBEsol geometry
# Symmetry: Fm-3m, No. 225
# Magnetization, μB per formula unit: 0.00
# Energy of formation, eV per formula unit: 1.8
# Energy above the most stable polymorph in this dataset, eV per atom: 0.000
data_SrScBe2
_chemical_formula_sum 'Sr1 Sc1 Be2'
_cell_length_a 4.834
_cell_length_b 4.834
_cell_length_c 4.834
_cell_angle_alpha 60.00
_cell_angle_beta 60.00
_cell_angle_gamma 60.00
_symmetry_space_group_name_H-M 'P 1'
_symmetry_Int_Tables_number 1
loop_
_symmetry_equiv_pos_as_xyz
'x,y,z'
loop_
_atom_site_label
_atom_site_fract_x
_atom_site_fract_y
_atom_site_fract_z
_atom_site_occupancy
Sr1 0.000 0.000 0.000 1
Sc1 0.500 0.500 0.500 1
Be1 0.250 0.250 0.250 1
Be2 0.750 0.750 0.750 1

# KHgCl2 | Alexandria via LeMat-Bulk | meta-GGA SCAN | PBEsol geometry
# Symmetry: I-4m2, No. 119
# Magnetization, μB per formula unit: 0.00
# Energy relative to the elements, uncorrected, meV per atom: -1093
data_KHgCl2
_chemical_formula_sum 'K1 Hg1 Cl2'
_cell_length_a 6.936
_cell_length_b 6.936
_cell_length_c 6.936
_cell_angle_alpha 145.59
_cell_angle_beta 145.59
_cell_angle_gamma 49.46
_symmetry_space_group_name_H-M 'P 1'
_symmetry_Int_Tables_number 1
loop_
_symmetry_equiv_pos_as_xyz
'x,y,z'
loop_
_atom_site_label
_atom_site_fract_x
_atom_site_fract_y
_atom_site_fract_z
_atom_site_occupancy
K1 0.000 0.000 0.000 1
Hg1 0.250 0.750 0.500 1
Cl1 0.500 0.500 0.000 1
Cl2 0.750 0.250 0.500 1

# Li2SiRu | Alexandria via LeMat-Bulk | meta-GGA SCAN | PBEsol geometry
# Symmetry: C2/m, No. 12
# Magnetization, μB per formula unit: 0.43
# Energy relative to the elements, uncorrected, meV per atom: -327
data_Li2SiRu
_chemical_formula_sum 'Li2 Si1 Ru1'
_cell_length_a 5.057
_cell_length_b 5.057
_cell_length_c 3.928
_cell_angle_alpha 112.77
_cell_angle_beta 112.77
_cell_angle_gamma 33.02
_symmetry_space_group_name_H-M 'P 1'
_symmetry_Int_Tables_number 1
loop_
_symmetry_equiv_pos_as_xyz
'x,y,z'
loop_
_atom_site_label
_atom_site_fract_x
_atom_site_fract_y
_atom_site_fract_z
_atom_site_occupancy
Li1 0.247 0.247 0.247 1
Li2 0.753 0.753 0.753 1
Si1 0.500 0.500 0.000 1
Ru1 0.000 0.000 0.500 1

# DyAsPt | Alexandria via LeMat-Bulk | meta-GGA SCAN | PBEsol geometry
# Symmetry: P6_3/mmc, No. 194
# Magnetization, μB per formula unit: 0.00
# Energy of formation, eV per formula unit: -4.3
data_DyAsPt
_chemical_formula_sum 'Dy2 As2 Pt2'
_cell_length_a 4.244
_cell_length_b 4.244
_cell_length_c 7.566
_cell_angle_alpha 90.00
_cell_angle_beta 90.00
_cell_angle_gamma 120.00
_symmetry_space_group_name_H-M 'P 1'
_symmetry_Int_Tables_number 1
loop_
_symmetry_equiv_pos_as_xyz
'x,y,z'
loop_
_atom_site_label
_atom_site_fract_x
_atom_site_fract_y
_atom_site_fract_z
_atom_site_occupancy
Dy1 0.000 0.000 0.000 1
Dy2 0.000 0.000 0.500 1
As1 0.333 0.667 0.250 1
As2 0.667 0.333 0.750 1
Pt1 0.333 0.667 0.750 1
Pt2 0.667 0.333 0.250 1

Q: Which formula does entry 1 have?
A: SrScBe2